The following is a DFT calculation (SCAN) of a PBEsol-optimized structure of Sc7Cl10.

Structure (CIF):
```
data_Sc7Cl10
_cell_length_a 18.625
_cell_length_b 3.495
_cell_length_c 12.141
_cell_angle_alpha 90.00
_cell_angle_beta 92.38
_cell_angle_gamma 90.00
_symmetry_space_group_name_H-M 'C 1 2/m 1'
_symmetry_Int_Tables_number 12
_symmetry_space_group_name_Hall '-C 2y'
loop_
_atom_site_label
_atom_site_type_symbol
_atom_site_fract_x
_atom_site_fract_y
_atom_site_fract_z
_atom_site_occupancy
Sc1 Sc 0.000 0.000 0.000 1
Sc2 Sc 0.167 0.500 0.751 1
Sc3 Sc 0.185 0.000 0.530 1
Sc4 Sc 0.189 0.500 0.291 1
Cl1 Cl 0.060 0.500 0.118 1
Cl2 Cl 0.086 0.500 0.591 1
Cl3 Cl 0.100 0.000 0.354 1
Cl4 Cl 0.107 0.000 0.874 1
Cl5 Cl 0.217 0.000 0.142 1
```

Computed properties:
Total magnetic moment in μB/cell: 0.95
Calculated density in g cm⁻³: 2.8
Formation energy from raw total energies in eV/atom: -1.911